The following is a DFT calculation (GGA+U) of a geometry-optimized PaCdFe2O8 structure.

The structure in POSCAR format:
```
PaCdFe2O8
1.0
-3.546 3.546 3.287
3.546 -3.546 3.287
3.546 3.546 -3.287
Pa Cd Fe O
1 1 2 8
Cartesian
0.000 0.000 0.000
0.000 3.546 1.643
3.546 0.000 1.643
0.000 0.000 3.287
2.137 0.000 0.423
4.955 0.000 0.423
3.546 2.305 -1.221
3.546 -1.409 2.864
0.000 1.241 2.066
3.546 1.409 2.864
2.305 3.546 1.221
1.241 0.000 4.507
```

Magnetic moment ... 7.0 μB/cell
ρ ... 5.86 Mg/m³
Energy ... -80.20 eV/cell